This record from Alexandria describes a relaxed structure of KNaTa2Co. The functional is PBE.

Results
- Formation energy from the elements: 1063 meV per atom
- Spin magnetization: 1.78 μB per formula unit
- SG: P4/mmm

a b c (Å): 4.630 5.898 4.630
angles (deg): 90.00 90.00 90.00
Last column: magnetic moment on the atom in μB.
Atoms (fractional coordinates):
K1 0.500 0.500 0.500  0.02
Ta1 0.000 0.000 0.500  0.36
Ta2 0.500 0.000 0.000  0.56
Co1 0.000 0.000 0.000  0.16
Na1 0.000 0.500 0.000  0.00

---

This record from Alexandria describes a relaxed structure of PrMg8Ni4. The functional is PBE.

Results
- Formation energy from the elements: -135 meV per atom
- Spin magnetization: 0.00 μB per formula unit
- SG: I4/mmm

a b c (Å): 5.396 7.127 7.127
angles (deg): 81.76 67.76 67.76
Atoms (fractional coordinates):
Pr1 0.000 0.000 0.000
Mg1 0.721 0.779 0.779
Ni1 0.500 0.000 0.500
Mg2 0.338 0.662 0.662
Ni2 0.000 0.500 0.000
Mg3 0.500 0.221 0.779
Mg4 0.279 0.221 0.221
Mg5 0.500 0.779 0.221
Ni3 0.000 0.000 0.500
Mg6 0.000 0.662 0.338
Ni4 0.500 0.500 0.000
Mg7 0.662 0.338 0.338
Mg8 0.000 0.338 0.662

---

This record from Alexandria describes a relaxed structure of MnNiOs. The functional is PBE.

Results
- Formation energy from the elements: 51 meV per atom
- Spin magnetization: 1.00 μB per formula unit
- SG: Imm2

a b c (Å): 4.447 4.447 4.447
angles (deg): 145.82 131.50 60.67
Last column: magnetic moment on the atom in μB.
Atoms (fractional coordinates):
Mn1 0.001 0.001 0.000  1.43
Os1 0.665 0.665 0.000  -0.36
Ni1 0.333 0.333 0.000  -0.09

---

This record from Alexandria describes a relaxed structure of AcPr4Er2Tm. The functional is PBE.

Results
- Formation energy from the elements: 111 meV per atom
- Spin magnetization: 0.00 μB per formula unit
- SG: Pmmm

a b c (Å): 5.983 5.973 9.876
angles (deg): 52.80 90.00 90.00
Atoms (fractional coordinates):
Tm1 0.000 0.500 0.500
Pr1 0.500 0.728 0.272
Ac1 0.500 0.500 0.000
Pr2 0.000 0.229 0.271
Pr3 0.000 0.771 0.729
Er1 0.500 0.000 0.500
Pr4 0.500 0.272 0.728
Er2 0.000 0.000 0.000